This record from Alexandria via LeMat-Bulk describes a relaxed structure of Na2NiHgF6. The functional is GGA+U.

Cell: 6.039 6.039 6.039 Å, 60.00 60.00 60.00°
Last column: magnetic moment on the atom in μB.
Element x y z (fractional)
F 0.234 0.234 0.766  0.02
F 0.234 0.766 0.766  0.02
F 0.766 0.766 0.234  0.02
F 0.766 0.234 0.766  0.02
F 0.766 0.234 0.234  0.02
F 0.234 0.766 0.234  0.02
Hg 0.500 0.500 0.500  0.03
Ni 0.000 0.000 0.000  1.81
Na 0.750 0.750 0.750  0.00
Na 0.250 0.250 0.250  0.00

Output
The value obtained for the excess energy over the best structure of this formula in the dataset is 12.17 kJ/mol of atoms. As for the total magnetization: 2.00 μB per formula unit. As for the space group: Fm-3m, No. 225. The value obtained for the density of states at the Fermi level is 0.000 states/eV/atom.